Entry from the Alexandria database: an optimized crystal structure of SiRh2F (PBE).

The calculation puts the density of states at the Fermi level at 2.4 states/eV/f.u. As for the formation energy without anion corrections: -0.593 eV per atom. The value obtained for the energy above the lowest structure with this stoichiometry is 0.0000 eV/atom.

It has space group Fm-3m (No. 225), with a = 5.8320 Å, b = 5.8320 Å, c = 5.8320 Å, α = 90.00°, β = 90.00° and γ = 90.00°. The inequivalent atoms are Si at (0.0000, 0.0000, 0.0000), Rh at (0.2500, 0.2500, 0.2500) and F at (0.0000, 0.0000, 0.5000).

=====

Entry from the Alexandria database: an optimized crystal structure of Si2SnRhF (PBE).

The calculation puts the density of states at the Fermi level at 3.0 states/eV/f.u. As for the formation energy without anion corrections: 0.296 eV per atom.

It has space group P4/mmm (No. 123), with a = 4.4505 Å, b = 4.4505 Å, c = 4.3707 Å, α = 90.00°, β = 90.00° and γ = 90.00°. The inequivalent atoms are Si at (0.0000, 0.5000, 0.0000), Sn at (0.0000, 0.0000, 0.5000), Rh at (0.5000, 0.5000, 0.5000) and F at (0.5000, 0.5000, 0.0000).